Record 1
5
Lattice="5.428 0.000 0.000 0.000 5.428 0.000 0.000 0.000 4.185" Properties=species:S:1:pos:R:3 comment="Li2CdSnN (PBE-GGA, optimized geometry)" magmom_total_mub_per_cell=0.000 e_form_raw_mev_per_atom=566 e_tot_ev_per_cell=-14.24 spacegroup="P4/mmm, No. 123" pbc="T T T"
Li 0.000 2.714 0.000
Li 2.714 0.000 0.000
Cd 0.000 0.000 2.092
Sn 2.714 2.714 0.000
N 2.714 2.714 2.092

Record 2
5
Lattice="4.319 0.000 0.000 0.000 4.319 0.000 0.000 0.000 5.871" Properties=species:S:1:pos:R:3 comment="LiCdSnN2 (PBE-GGA, optimized geometry)" magmom_total_mub_per_cell=2.743 e_form_raw_mev_per_atom=1577 e_tot_ev_per_cell=-15.60 spacegroup="P4/mmm, No. 123" pbc="T T T"
Li 0.000 0.000 0.000
Cd 2.159 2.159 2.936
Sn 2.159 2.159 0.000
N 0.000 2.159 2.936
N 2.159 0.000 2.936

- Which formula does entry 1 have?
  Li2CdSnN